Entry 1:
Here is a relaxed PrDy4Tm2 crystal from Alexandria via LeMat-Bulk. Energies are from GGA-PBE.

Lattice parameters (Å, degrees): 6.178 6.503 11.566 90.00 106.75 90.00
Atoms (fractional coordinates):
Pr  0.182  0.750  0.138
Pr  0.818  0.250  0.862
Dy  0.639  0.492  0.288
Dy  0.989  0.750  0.836
Dy  0.011  0.250  0.164
Dy  0.639  0.008  0.288
Dy  0.867  0.250  0.573
Dy  0.361  0.992  0.712
Dy  0.361  0.508  0.712
Dy  0.133  0.750  0.427
Tm  0.613  0.750  0.005
Tm  0.387  0.250  0.995
Tm  0.306  0.250  0.449
Tm  0.694  0.750  0.551

- Space group: P2_1/m, No. 11
- ΔE to the lowest computed polymorph: 0.0945 eV per atom
- Total magnetization: 0.000 μB/cell
- Energy of formation from the pure elements: 128 meV/atom

=====

Entry 2:
Here is a relaxed PrDy5Tm7 crystal from Alexandria via LeMat-Bulk. Energies are from GGA-PBE.

Lattice parameters (Å, degrees): 6.658 8.614 8.614 79.19 67.26 67.26
Atoms (fractional coordinates):
Pr  0.970  0.030  0.030
Dy  0.534  0.004  0.462
Dy  0.000  0.004  0.462
Dy  0.534  0.462  0.004
Dy  0.000  0.462  0.004
Dy  0.770  0.730  0.730
Tm  0.578  0.422  0.422
Tm  0.274  0.726  0.726
Tm  0.019  0.312  0.649
Tm  0.019  0.649  0.312
Tm  0.266  0.234  0.234
Tm  0.517  0.813  0.152
Tm  0.517  0.152  0.813

- Space group: Imm2, No. 44
- Total magnetization: 0.000 μB/cell
- Energy of formation from the pure elements: 253 meV/atom

=====

Entry 3:
Here is a relaxed PrDy4Tm8 crystal from Alexandria via LeMat-Bulk. Energies are from GGA-PBE.

Lattice parameters (Å, degrees): 7.244 7.244 9.852 90.00 111.57 120.00
Atoms (fractional coordinates):
Pr  0.000  0.500  0.500
Dy  0.000  0.000  0.000
Dy  0.000  0.500  0.000
Dy  0.500  0.500  0.000
Dy  0.500  0.000  0.000
Tm  0.563  0.781  0.344
Tm  0.437  0.219  0.656
Tm  0.498  0.249  0.307
Tm  0.943  0.192  0.693
Tm  0.502  0.751  0.693
Tm  0.943  0.751  0.693
Tm  0.057  0.249  0.307
Tm  0.057  0.808  0.307

- Space group: R-3m, No. 166
- Total magnetization: 0.000 μB/cell
- Energy of formation from the pure elements: 210 meV/atom

=====

Entry 4:
Here is a relaxed Pr4Dy4Tm crystal from Alexandria via LeMat-Bulk. Energies are from GGA-PBE.

Lattice parameters (Å, degrees): 5.624 8.910 9.023 45.40 71.85 71.61
Atoms (fractional coordinates):
Pr  0.281  0.150  0.288
Pr  0.719  0.850  0.712
Pr  0.867  0.308  0.957
Pr  0.133  0.692  0.043
Dy  0.621  0.429  0.329
Dy  0.928  0.772  0.371
Dy  0.379  0.571  0.671
Dy  0.072  0.228  0.629
Tm  0.500  0.000  0.000

- Space group: C2/m, No. 12
- ΔE to the lowest computed polymorph: 0.0878 eV per atom
- Total magnetization: 0.000 μB/cell
- Energy of formation from the pure elements: 107 meV/atom

=====

Entry 5:
Here is a relaxed Pr2Dy7Tm crystal from Alexandria via LeMat-Bulk. Energies are from GGA-PBE.

Lattice parameters (Å, degrees): 3.509 14.806 14.806 154.56 90.00 90.00
Atoms (fractional coordinates):
Pr  0.500  0.707  0.293
Pr  0.500  0.293  0.707
Dy  0.000  0.816  0.184
Dy  0.000  0.184  0.816
Dy  0.500  0.148  0.342
Dy  0.500  0.852  0.658
Dy  0.500  0.342  0.148
Dy  0.500  0.658  0.852
Dy  0.500  0.500  0.500
Tm  0.000  0.000  0.000

- Space group: Cmmm, No. 65
- ΔE to the lowest computed polymorph: 0.1331 eV per atom
- Total magnetization: 0.000 μB/cell
- Energy of formation from the pure elements: 154 meV/atom

=====

Entry 6:
Here is a relaxed PrDy4Tm6 crystal from Alexandria via LeMat-Bulk. Energies are from GGA-PBE.

Lattice parameters (Å, degrees): 7.715 7.715 8.378 117.41 117.41 90.00
Atoms (fractional coordinates):
Pr  0.500  0.500  0.000
Dy  0.093  0.759  0.852
Dy  0.907  0.907  0.148
Dy  0.759  0.093  0.852
Dy  0.241  0.241  0.148
Tm  0.942  0.429  0.371
Tm  0.429  0.942  0.371
Tm  0.571  0.571  0.629
Tm  0.000  0.500  0.000
Tm  0.058  0.058  0.629
Tm  0.500  0.000  0.000

- Space group: I-42m, No. 121
- ΔE to the lowest computed polymorph: 0.3460 eV per atom
- Total magnetization: 0.000 μB/cell
- Energy of formation from the pure elements: 464 meV/atom